# 1
## CuAg2Pt (PBE)

Data for crystalline CuAg2Pt at its relaxed geometry.

a b c (Å): 3.9252 3.9252 4.1208
angles (deg): 90.00 90.00 90.00
Sites, in units of the cell vectors:
1 Cu 0.0000 0.0000 0.0000
2 Ag 0.0000 0.5000 0.5000
3 Ag 0.5000 0.0000 0.5000
4 Pt 0.5000 0.5000 0.0000

Summary:
Final energy, eV/atom: -3.932
E_form, eV per atom: 0.028
Energy relative to the lowest polymorph listed for this composition, meV/atom: 48
Symmetry: No. 123
Total moment, μB/f.u.: 0.0
Calculated density, Mg/m³: 12.41

---

# 2
## PbS8 (PBE)

Data for crystalline PbS8 at its relaxed geometry.

a b c (Å): 7.8179 7.8179 7.8179
angles (deg): 103.81 103.81 121.50
Sites, in units of the cell vectors:
1 Pb 0.0000 0.0000 0.0000
2 S 0.0428 0.5997 0.6424
3 S 0.1224 0.2753 0.3977
4 S 0.2753 0.8776 0.1529
5 S 0.4003 0.0428 0.4431
6 S 0.5997 0.9572 0.5569
7 S 0.7247 0.1224 0.8471
8 S 0.8776 0.7247 0.6023
9 S 0.9572 0.4003 0.3576

Summary:
Final energy, eV/atom: -3.914
Symmetry: No. 87
Total moment, μB/f.u.: 2.1
Calculated density, Mg/m³: 2.17
ΔE_f (raw), kJ/mol of formula units: 145

---

# 3
## CeThZnGa (PBE)

Data for crystalline CeThZnGa at its relaxed geometry.

a b c (Å): 7.3126 7.3126 7.3126
angles (deg): 90.00 90.00 90.00
Sites, in units of the cell vectors:
1 Ce 0.0000 0.0000 0.0000
2 Ce 0.0000 0.5000 0.5000
3 Ce 0.5000 0.0000 0.5000
4 Ce 0.5000 0.5000 0.0000
5 Th 0.0000 0.0000 0.5000
6 Th 0.0000 0.5000 0.0000
7 Th 0.5000 0.0000 0.0000
8 Th 0.5000 0.5000 0.5000
9 Zn 0.2500 0.2500 0.2500
10 Zn 0.2500 0.7500 0.7500
11 Zn 0.7500 0.2500 0.7500
12 Zn 0.7500 0.7500 0.2500
13 Ga 0.2500 0.2500 0.7500
14 Ga 0.2500 0.7500 0.2500
15 Ga 0.7500 0.2500 0.2500
16 Ga 0.7500 0.7500 0.7500

Summary:
Final energy, eV/atom: -4.719
E_form, eV per atom: -0.305
Symmetry: No. 216
Total moment, μB/f.u.: 0.7
Calculated density, Mg/m³: 8.62

---

# 4
## YSiSeN2 (PBE)

Data for crystalline YSiSeN2 at its relaxed geometry.

a b c (Å): 3.7914 3.7914 4.9619
angles (deg): 90.00 90.00 90.00
Sites, in units of the cell vectors:
1 Y 0.0000 0.0000 0.0000
2 Si 0.5000 0.5000 0.5000
3 Se 0.5000 0.5000 0.0000
4 N 0.0000 0.5000 0.5000
5 N 0.5000 0.0000 0.5000

Summary:
Final energy, eV/atom: -6.626
Energy relative to the lowest polymorph listed for this composition, meV/atom: 0
Symmetry: No. 123
Total moment, μB/f.u.: 0.5
Calculated density, Mg/m³: 5.21
ΔE_f (raw), kJ/mol of formula units: -107